# 1
DFT (PBE) results for crystalline ReRu2Br at its relaxed geometry.

a b c (Å): 2.855 4.878 9.334
angles (deg): 90.00 90.00 90.00
Sites, in units of the cell vectors:
Re  0.000  0.000  0.000
Re  0.500  0.500  0.000
Ru  0.000  0.500  0.231
Ru  0.000  0.500  0.769
Ru  0.500  0.000  0.231
Ru  0.500  0.000  0.769
Br  0.000  0.000  0.500
Br  0.500  0.500  0.500

- Formation energy from raw total energies: 3.19 eV/f.u.
- Density: 11.965 Mg/m³
- Total magnetic moment: 0.0 μB/f.u.
- SG: Cmmm (65)
- Crystal system: orthorhombic
- DOS(E_F): 1.39 states/eV per atom
- Polymorph energy (0 for the lowest one): 288 meV per atom



# 2
DFT (PBE) results for crystalline Li3Sn4 at its relaxed geometry.

a b c (Å): 7.428 7.428 7.428
angles (deg): 109.47 109.47 109.47
Sites, in units of the cell vectors:
Li  0.125  0.875  0.250
Li  0.250  0.125  0.875
Li  0.375  0.625  0.750
Li  0.625  0.750  0.375
Li  0.750  0.375  0.625
Li  0.875  0.250  0.125
Sn  0.000  0.168  0.500
Sn  0.000  0.668  0.500
Sn  0.168  0.500  0.000
Sn  0.332  0.332  0.332
Sn  0.500  0.000  0.168
Sn  0.500  0.000  0.668
Sn  0.668  0.500  0.000
Sn  0.832  0.832  0.832

- Density: 5.217 Mg/m³
- Total magnetic moment: 0.0 μB/f.u.
- SG: I-43d (220)
- Crystal system: cubic
- DFT formation energy: -0.2105 eV/atom
- DOS(E_F): 0.17 states/eV per atom
- Polymorph energy (0 for the lowest one): 41 meV per atom



# 3
DFT (PBE) results for crystalline BaGa3S at its relaxed geometry.

a b c (Å): 5.217 5.217 5.217
angles (deg): 90.00 90.00 90.00
Sites, in units of the cell vectors:
Ba  0.000  0.000  0.000
Ga  0.000  0.500  0.500
Ga  0.500  0.000  0.500
Ga  0.500  0.500  0.000
S  0.500  0.500  0.500

- Formation energy from raw total energies: -0.15 eV/f.u.
- Density: 4.427 Mg/m³
- Total magnetic moment: 0.0 μB/f.u.
- SG: Pm-3m (221)
- Crystal system: cubic
- DOS(E_F): 0.84 states/eV per atom
- Polymorph energy (0 for the lowest one): 0 meV per atom



# 4
DFT (PBE) results for crystalline NpGaSb at its relaxed geometry.

a b c (Å): 3.624 3.624 10.657
angles (deg): 90.00 90.00 90.00
Sites, in units of the cell vectors:
Np  0.000  0.000  0.000
Np  0.500  0.500  0.500
Ga  0.000  0.000  0.680
Ga  0.500  0.500  0.180
Sb  0.000  0.000  0.310
Sb  0.500  0.500  0.810

- Formation energy from raw total energies: -0.13 eV/f.u.
- Density: 10.170 Mg/m³
- Total magnetic moment: 4.9 μB/f.u.
- SG: I4mm (107)
- Crystal system: tetragonal
- DOS(E_F): 2.10 states/eV per atom
- Polymorph energy (0 for the lowest one): 182 meV per atom